Version one
# FeAgBr4 | Alexandria via LeMat-Bulk | PBE | optimized geometry
data_FeAgBr4
_chemical_formula_sum 'Fe4 Ag4 Br16'
_space_group_name_H-M_alt 'P 1 21/c 1'
_space_group_IT_number 14
_space_group_name_Hall '-P 2ybc'
_cell_length_a 7.086
_cell_length_b 8.688
_cell_length_c 13.930
_cell_angle_alpha 90.00
_cell_angle_beta 90.25
_cell_angle_gamma 90.00
loop_
_atom_site_label
_atom_site_type_symbol
_atom_site_fract_x
_atom_site_fract_y
_atom_site_fract_z
_atom_site_occupancy
Fe1 Fe 0.182 0.240 0.421 1
Ag1 Ag 0.308 0.010 0.670 1
Br1 Br 0.128 0.742 0.642 1
Br2 Br 0.165 0.233 0.091 1
Br3 Br 0.317 0.001 0.381 1
Br4 Br 0.357 0.048 0.863 1
# Total magnetic moment ... 4.99 μB/f.u.

Version two
# FeAgBr4 | Alexandria via LeMat-Bulk | PBE | optimized geometry
data_FeAgBr4
_chemical_formula_sum 'Fe4 Ag4 Br16'
_space_group_name_H-M_alt 'F -4 3 m'
_space_group_IT_number 216
_space_group_name_Hall 'F -4 2 3'
_cell_length_a 8.848
_cell_length_b 8.848
_cell_length_c 8.848
_cell_angle_alpha 90.00
_cell_angle_beta 90.00
_cell_angle_gamma 90.00
loop_
_atom_site_label
_atom_site_type_symbol
_atom_site_fract_x
_atom_site_fract_y
_atom_site_fract_z
_atom_site_occupancy
Fe1 Fe 0.000 0.000 0.000 1
Ag1 Ag 0.250 0.250 0.750 1
Br1 Br 0.125 0.125 0.375 1
# Total magnetic moment ... 3.27 μB/f.u.

Version three
# FeAgBr4 | Alexandria via LeMat-Bulk | PBE | optimized geometry
data_FeAgBr4
_chemical_formula_sum 'Fe2 Ag2 Br8'
_space_group_name_H-M_alt 'P -4 2 c'
_space_group_IT_number 112
_space_group_name_Hall 'P -4 2c'
_cell_length_a 6.211
_cell_length_b 6.211
_cell_length_c 11.121
_cell_angle_alpha 90.00
_cell_angle_beta 90.00
_cell_angle_gamma 90.00
loop_
_atom_site_label
_atom_site_type_symbol
_atom_site_fract_x
_atom_site_fract_y
_atom_site_fract_z
_atom_site_occupancy
Fe1 Fe 0.000 0.500 0.250 1
Ag1 Ag 0.000 0.000 0.000 1
Br1 Br 0.231 0.284 0.369 1
# Total magnetic moment ... 4.99 μB/f.u.

It comes down to version three, which is 0.7 kJ/mol of atoms more stable than the next structure.

Version one
# FeAg3Br | Alexandria via LeMat-Bulk | PBE | optimized geometry
data_FeAg3Br
_chemical_formula_sum 'Fe1 Ag3 Br1'
_space_group_name_H-M_alt 'P m -3 m'
_space_group_IT_number 221
_space_group_name_Hall '-P 4 2 3'
_cell_length_a 4.988
_cell_length_b 4.988
_cell_length_c 4.988
_cell_angle_alpha 90.00
_cell_angle_beta 90.00
_cell_angle_gamma 90.00
loop_
_atom_site_label
_atom_site_type_symbol
_atom_site_fract_x
_atom_site_fract_y
_atom_site_fract_z
_atom_site_occupancy
Fe1 Fe 0.000 0.000 0.000 1
Ag1 Ag 0.000 0.000 0.500 1
Br1 Br 0.500 0.500 0.500 1
# Total magnetic moment ... 2.74 μB/f.u.

Version two
# FeAg3Br | Alexandria via LeMat-Bulk | PBE | optimized geometry
data_FeAg3Br
_chemical_formula_sum 'Fe1 Ag3 Br1'
_space_group_name_H-M_alt 'P m -3 m'
_space_group_IT_number 221
_space_group_name_Hall '-P 4 2 3'
_cell_length_a 5.200
_cell_length_b 5.200
_cell_length_c 5.200
_cell_angle_alpha 90.00
_cell_angle_beta 90.00
_cell_angle_gamma 90.00
loop_
_atom_site_label
_atom_site_type_symbol
_atom_site_fract_x
_atom_site_fract_y
_atom_site_fract_z
_atom_site_occupancy
Fe1 Fe 0.000 0.000 0.000 1
Ag1 Ag 0.000 0.500 0.500 1
Br1 Br 0.500 0.500 0.500 1
# Total magnetic moment ... 3.46 μB/f.u.

It comes down to version one, which is 39.3 kJ/mol of atoms more stable than the next structure.

Version one
# FeAgBr | Alexandria via LeMat-Bulk | PBE | optimized geometry
data_FeAgBr
_chemical_formula_sum 'Fe1 Ag1 Br1'
_space_group_name_H-M_alt 'P -6 m 2'
_space_group_IT_number 187
_space_group_name_Hall 'P -6 2'
_cell_length_a 4.3832
_cell_length_b 4.3832
_cell_length_c 3.3834
_cell_angle_alpha 90.00
_cell_angle_beta 90.00
_cell_angle_gamma 120.00
loop_
_atom_site_label
_atom_site_type_symbol
_atom_site_fract_x
_atom_site_fract_y
_atom_site_fract_z
_atom_site_occupancy
Fe1 Fe 0.0000 0.0000 0.0000 1
Ag1 Ag 0.6667 0.3333 0.5000 1
Br1 Br 0.3333 0.6667 0.0000 1
# Total magnetic moment ... 2.64 μB/f.u.

Version two
# FeAgBr | Alexandria via LeMat-Bulk | PBE | optimized geometry
data_FeAgBr
_chemical_formula_sum 'Fe2 Ag2 Br2'
_space_group_name_H-M_alt 'I 4 m m'
_space_group_IT_number 107
_space_group_name_Hall 'I 4 -2'
_cell_length_a 3.130
_cell_length_b 3.130
_cell_length_c 12.822
_cell_angle_alpha 90.00
_cell_angle_beta 90.00
_cell_angle_gamma 90.00
loop_
_atom_site_label
_atom_site_type_symbol
_atom_site_fract_x
_atom_site_fract_y
_atom_site_fract_z
_atom_site_occupancy
Fe1 Fe 0.000 0.000 0.000 1
Ag1 Ag 0.000 0.000 0.363 1
Br1 Br 0.000 0.000 0.619 1
# Total magnetic moment ... 3.42 μB/f.u.

Version three
# FeAgBr | Alexandria via LeMat-Bulk | PBE | optimized geometry
data_FeAgBr
_chemical_formula_sum 'Fe1 Ag1 Br1'
_space_group_name_H-M_alt 'P 3 m 1'
_space_group_IT_number 156
_space_group_name_Hall 'P 3 -2"'
_cell_length_a 3.2828
_cell_length_b 3.2828
_cell_length_c 6.5151
_cell_angle_alpha 90.00
_cell_angle_beta 90.00
_cell_angle_gamma 120.00
loop_
_atom_site_label
_atom_site_type_symbol
_atom_site_fract_x
_atom_site_fract_y
_atom_site_fract_z
_atom_site_occupancy
Fe1 Fe 0.0000 0.0000 0.0000 1
Ag1 Ag 0.3333 0.6667 0.3008 1
Br1 Br 0.6667 0.3333 0.7422 1
# Total magnetic moment ... 3.28 μB/f.u.

Version four
# FeAgBr | Alexandria via LeMat-Bulk | PBE | optimized geometry
data_FeAgBr
_chemical_formula_sum 'Fe4 Ag4 Br4'
_space_group_name_H-M_alt 'F -4 3 m'
_space_group_IT_number 216
_space_group_name_Hall 'F -4 2 3'
_cell_length_a 6.281
_cell_length_b 6.281
_cell_length_c 6.281
_cell_angle_alpha 90.00
_cell_angle_beta 90.00
_cell_angle_gamma 90.00
loop_
_atom_site_label
_atom_site_type_symbol
_atom_site_fract_x
_atom_site_fract_y
_atom_site_fract_z
_atom_site_occupancy
Fe1 Fe 0.000 0.000 0.000 1
Ag1 Ag 0.250 0.250 0.250 1
Br1 Br 0.250 0.250 0.750 1
# Total magnetic moment ... 2.86 μB/f.u.

It comes down to version three, which is 7.8 kJ/mol of atoms more stable than the next structure.

Version one
# FeAg3Br6 | Alexandria via LeMat-Bulk | PBE | optimized geometry
data_FeAg3Br6
_chemical_formula_sum 'Fe2 Ag6 Br12'
_space_group_name_H-M_alt 'P 1 21 1'
_space_group_IT_number 4
_space_group_name_Hall 'P 2yb'
_cell_length_a 9.597
_cell_length_b 7.475
_cell_length_c 9.824
_cell_angle_alpha 90.00
_cell_angle_beta 105.70
_cell_angle_gamma 90.00
loop_
_atom_site_label
_atom_site_type_symbol
_atom_site_fract_x
_atom_site_fract_y
_atom_site_fract_z
_atom_site_occupancy
Fe1 Fe 0.181 0.000 0.321 1
Ag1 Ag 0.148 0.141 0.739 1
Ag2 Ag 0.280 0.653 0.671 1
Ag3 Ag 0.461 0.146 0.050 1
Br1 Br 0.026 0.127 0.451 1
Br2 Br 0.045 0.802 0.149 1
Br3 Br 0.275 0.237 0.215 1
Br4 Br 0.283 0.864 0.897 1
Br5 Br 0.369 0.842 0.480 1
Br6 Br 0.393 0.344 0.785 1
# Total magnetic moment ... 5.01 μB/f.u.

Version two
# FeAg3Br6 | Alexandria via LeMat-Bulk | PBE | optimized geometry
data_FeAg3Br6
_chemical_formula_sum 'Fe6 Ag18 Br36'
_space_group_name_H-M_alt 'R -3'
_space_group_IT_number 148
_space_group_name_Hall '-R 3'
_cell_length_a 11.4021
_cell_length_b 11.4021
_cell_length_c 14.3067
_cell_angle_alpha 90.00
_cell_angle_beta 90.00
_cell_angle_gamma 120.00
loop_
_atom_site_label
_atom_site_type_symbol
_atom_site_fract_x
_atom_site_fract_y
_atom_site_fract_z
_atom_site_occupancy
Fe1 Fe 0.0000 0.0000 0.0000 1
Fe2 Fe 0.0000 0.0000 0.5000 1
Ag1 Ag 0.0545 0.2561 0.2090 1
Br1 Br 0.0330 0.1923 0.4039 1
Br2 Br 0.0496 0.1934 0.9000 1
# Total magnetic moment ... 0.98 μB/f.u.

It comes down to version one, which is 10.5 kJ/mol of atoms more stable than the next structure.